(1)
Material: YNbBr3
Method: DFT, PBE-GGA
State: optimized geometry

Computed properties:
Relative energy among the computed polymorphs   0.0 kJ/mol of formula units

a b c (Å): 5.5583 5.5583 5.5583
angles (deg): 90.00 90.00 90.00
With the nearest neighbours (Å) after each atom.
Sites, in units of the cell vectors:
Y: 0.0000 0.0000 0.0000  6 Br 2.78
Nb: 0.5000 0.5000 0.5000  12 Br 3.93
Br: 0.0000 0.0000 0.5000  2 Y 2.78
Br: 0.0000 0.5000 0.0000  2 Y 2.78
Br: 0.5000 0.0000 0.0000  2 Y 2.78

***

(2)
Material: NbZnBr2
Method: DFT, PBE-GGA
State: optimized geometry

Computed properties:
Relative energy among the computed polymorphs   217.4 kJ/mol of formula units

a b c (Å): 6.7794 6.7794 6.7794
angles (deg): 90.00 90.00 90.00
With the nearest neighbours (Å) after each atom.
Sites, in units of the cell vectors:
Nb: 0.0000 0.0000 0.0000  8 Br 2.94
Nb: 0.0000 0.5000 0.5000  8 Br 2.94
Nb: 0.5000 0.0000 0.5000  8 Br 2.94
Nb: 0.5000 0.5000 0.0000  8 Br 2.94
Zn: 0.0000 0.0000 0.5000  8 Br 2.94
Zn: 0.0000 0.5000 0.0000  8 Br 2.94
Zn: 0.5000 0.0000 0.0000  8 Br 2.94
Zn: 0.5000 0.5000 0.5000  8 Br 2.94
Br: 0.2500 0.2500 0.2500  4 Zn 2.94, 4 Nb 2.94
Br: 0.2500 0.2500 0.7500  4 Nb 2.94, 4 Zn 2.94
Br: 0.2500 0.7500 0.2500  4 Nb 2.94, 4 Zn 2.94
Br: 0.2500 0.7500 0.7500  4 Nb 2.94, 4 Zn 2.94
Br: 0.7500 0.2500 0.2500  4 Nb 2.94, 4 Zn 2.94
Br: 0.7500 0.2500 0.7500  4 Nb 2.94, 4 Zn 2.94
Br: 0.7500 0.7500 0.2500  4 Nb 2.94, 4 Zn 2.94
Br: 0.7500 0.7500 0.7500  4 Nb 2.94, 4 Zn 2.94

***

(3)
Material: NbZn2Br8
Method: DFT, PBE-GGA
State: optimized geometry

a b c (Å): 8.5559 8.5559 6.4560
angles (deg): 90.94 90.94 56.98
With the nearest neighbours (Å) after each atom.
Sites, in units of the cell vectors:
Nb: 0.0000 0.0000 0.0000  6 Br 2.58-2.61
Zn: 0.1634 0.1634 0.6091  4 Br 2.30-2.56
Zn: 0.8366 0.8366 0.3909  4 Br 2.30-2.56
Br: 0.1468 0.1468 0.2137  1 Zn 2.56, 1 Nb 2.58
Br: 0.1532 0.7105 0.2429  1 Zn 2.51, 1 Nb 2.61
Br: 0.2895 0.8468 0.7571  1 Zn 2.51, 1 Nb 2.61
Br: 0.3143 0.3143 0.6787  1 Zn 2.30
Br: 0.6857 0.6857 0.3213  1 Zn 2.30
Br: 0.7105 0.1532 0.2429  1 Zn 2.51, 1 Nb 2.61
Br: 0.8468 0.2895 0.7571  1 Zn 2.51, 1 Nb 2.61
Br: 0.8532 0.8532 0.7863  1 Zn 2.56, 1 Nb 2.58

***

(4)
Material: NbZnBr2
Method: DFT, PBE-GGA
State: optimized geometry

Computed properties:
Relative energy among the computed polymorphs   0.0 kJ/mol of formula units

a b c (Å): 3.3496 3.3496 33.1531
angles (deg): 90.00 90.00 120.00
With the nearest neighbours (Å) after each atom.
Sites, in units of the cell vectors:
Nb: 0.0000 0.0000 0.0000  6 Br 2.69
Nb: 0.3333 0.6667 0.6667  6 Br 2.69
Nb: 0.6667 0.3333 0.3333  6 Br 2.69
Zn: 0.0000 0.0000 0.5000  6 Zn 3.35, 2 Br 3.65
Zn: 0.3333 0.6667 0.1667  6 Zn 3.35, 2 Br 3.65
Zn: 0.6667 0.3333 0.8333  6 Zn 3.35, 2 Br 3.65
Br: 0.0000 0.0000 0.3899  3 Nb 2.69
Br: 0.0000 0.0000 0.6101  3 Nb 2.69
Br: 0.3333 0.6667 0.0566  3 Nb 2.69
Br: 0.3333 0.6667 0.2768  3 Nb 2.69
Br: 0.6667 0.3333 0.7232  3 Nb 2.69
Br: 0.6667 0.3333 0.9434  3 Nb 2.69

***

(5)
Material: Nb3ZnBr
Method: DFT, PBE-GGA
State: optimized geometry

Computed properties:
Relative energy among the computed polymorphs   0.0 kJ/mol of formula units

a b c (Å): 4.7456 4.7456 4.7456
angles (deg): 90.00 90.00 90.00
With the nearest neighbours (Å) after each atom.
Sites, in units of the cell vectors:
Nb: 0.0000 0.0000 0.5000  2 Br 2.37
Nb: 0.0000 0.5000 0.0000  2 Br 2.37
Nb: 0.5000 0.0000 0.0000  2 Br 2.37
Zn: 0.5000 0.5000 0.5000  12 Nb 3.36
Br: 0.0000 0.0000 0.0000  6 Nb 2.37

***

(6)
Material: NbZn3Br
Method: DFT, PBE-GGA
State: optimized geometry

Computed properties:
Relative energy among the computed polymorphs   208.7 kJ/mol of formula units

a b c (Å): 4.9167 4.9167 4.9167
angles (deg): 90.00 90.00 90.00
With the nearest neighbours (Å) after each atom.
Sites, in units of the cell vectors:
Nb: 0.0000 0.0000 0.0000  12 Zn 3.48
Zn: 0.0000 0.5000 0.5000  2 Br 2.46
Zn: 0.5000 0.0000 0.5000  2 Br 2.46
Zn: 0.5000 0.5000 0.0000  2 Br 2.46
Br: 0.5000 0.5000 0.5000  6 Zn 2.46

***

(7)
Material: NbZn3Br
Method: DFT, PBE-GGA
State: optimized geometry

Computed properties:
Relative energy among the computed polymorphs   0.0 kJ/mol of formula units

a b c (Å): 5.3388 5.3388 5.3388
angles (deg): 90.00 90.00 90.00
With the nearest neighbours (Å) after each atom.
Sites, in units of the cell vectors:
Nb: 0.0000 0.0000 0.0000  6 Zn 2.67
Zn: 0.0000 0.0000 0.5000  2 Nb 2.67
Zn: 0.0000 0.5000 0.0000  2 Nb 2.67
Zn: 0.5000 0.0000 0.0000  2 Nb 2.67
Br: 0.5000 0.5000 0.5000  12 Zn 3.78

***

(8)
Material: NbZnBr2
Method: DFT, PBE-GGA
State: optimized geometry

Computed properties:
Relative energy among the computed polymorphs   84.0 kJ/mol of formula units

a b c (Å): 9.3797 9.3797 5.5262
angles (deg): 90.00 90.00 90.00
With the nearest neighbours (Å) after each atom.
Sites, in units of the cell vectors:
Nb: 0.0000 0.0000 0.0000  4 Br 2.65, 2 Zn 2.76
Nb: 0.0000 0.5000 0.2500  4 Br 2.65, 2 Zn 2.76
Nb: 0.5000 0.0000 0.7500  4 Br 2.65, 2 Zn 2.76
Nb: 0.5000 0.5000 0.5000  4 Br 2.65, 2 Zn 2.76
Zn: 0.0000 0.0000 0.5000  2 Nb 2.76
Zn: 0.0000 0.5000 0.7500  2 Nb 2.76
Zn: 0.5000 0.0000 0.2500  2 Nb 2.76
Zn: 0.5000 0.5000 0.0000  2 Nb 2.76
Br: 0.1081 0.2500 0.1250  2 Nb 2.65
Br: 0.2500 0.6081 0.3750  2 Nb 2.65
Br: 0.2500 0.8919 0.8750  2 Nb 2.65
Br: 0.3919 0.2500 0.6250  2 Nb 2.65
Br: 0.6081 0.7500 0.6250  2 Nb 2.65
Br: 0.7500 0.1081 0.8750  2 Nb 2.65
Br: 0.7500 0.3919 0.3750  2 Nb 2.65
Br: 0.8919 0.7500 0.1250  2 Nb 2.65

***

(9)
Material: ZrNbZnBr2
Method: DFT, PBE-GGA
State: optimized geometry

a b c (Å): 4.8740 4.8740 5.5289
angles (deg): 90.00 90.00 90.00
With the nearest neighbours (Å) after each atom.
Sites, in units of the cell vectors:
Zr: 0.0000 0.0000 0.0000  2 Zn 2.76
Nb: 0.5000 0.5000 0.0000  4 Zr 3.45, 8 Br 3.69
Zn: 0.0000 0.0000 0.5000  4 Br 2.44
Br: 0.0000 0.5000 0.5000  2 Zn 2.44
Br: 0.5000 0.0000 0.5000  2 Zn 2.44

***

(10)
Material: ZrNbBr
Method: DFT, PBE-GGA
State: optimized geometry

a b c (Å): 3.3749 3.3750 14.1504
angles (deg): 90.04 90.11 119.99
With the nearest neighbours (Å) after each atom.
Sites, in units of the cell vectors:
Zr: 0.0000 0.0000 0.0000  3 Br 2.79
Zr: 0.3365 0.6680 0.1730  3 Br 2.80, 2 Zr 3.13
Nb: 0.6576 0.3303 0.6509  3 Nb 2.64-2.65, 1 Br 2.95
Nb: 0.9900 0.9962 0.5245  3 Nb 2.64-2.65
Br: 0.0052 0.0028 0.3147  3 Zr 2.80, 1 Nb 2.97
Br: 0.6644 0.3317 0.8593  3 Zr 2.79, 1 Nb 2.95

***

(11)
Material: ZrNbBr3
Method: DFT, PBE-GGA
State: optimized geometry

Computed properties:
Relative energy among the computed polymorphs   63.5 kJ/mol of formula units

a b c (Å): 5.2420 5.2420 5.2420
angles (deg): 90.00 90.00 90.00
With the nearest neighbours (Å) after each atom.
Sites, in units of the cell vectors:
Zr: 0.0000 0.0000 0.0000  12 Br 3.71
Nb: 0.5000 0.5000 0.5000  6 Br 2.62
Br: 0.0000 0.5000 0.5000  2 Nb 2.62
Br: 0.5000 0.0000 0.5000  2 Nb 2.62
Br: 0.5000 0.5000 0.0000  2 Nb 2.62

***

(12)
Material: ZrNbBr3
Method: DFT, PBE-GGA
State: optimized geometry

Computed properties:
Relative energy among the computed polymorphs   0.0 kJ/mol of formula units

a b c (Å): 5.3193 5.3193 5.3193
angles (deg): 90.00 90.00 90.00
With the nearest neighbours (Å) after each atom.
Sites, in units of the cell vectors:
Zr: 0.0000 0.0000 0.0000  6 Br 2.66
Nb: 0.5000 0.5000 0.5000  12 Br 3.76
Br: 0.0000 0.0000 0.5000  2 Zr 2.66
Br: 0.0000 0.5000 0.0000  2 Zr 2.66
Br: 0.5000 0.0000 0.0000  2 Zr 2.66

***

Computed calculated total energy (eV/atom) in order:
-4.45, -3.35, -3.15, -3.91, -5.47, -1.82, -2.25, -3.69, -3.59, -6.96, -4.31, -4.44
Computed total magnetic moment (μB per cell) in order:
4.92, 0.00, 1.00, 0.00, 0.00, 2.40, 3.92, 9.35, 2.70, 0.00, 5.36, 4.45
Computed raw formation energy (meV/atom) in order:
-143, 324, -786, -239, 1157, 1294, 862, -22, 1062, -194, 417, 286